No. 1
TcHgRu (PBE, optimized geometry); N(E_F) = 2.88 states/eV/cell; formation energy from the elements = 0.274 eV per atom; M_tot = 0.00 μB per formula unit; E = -6.374 eV/atom; energy above the lowest structure with this stoichiometry = 0 meV/atom
1.0
-1.438 1.438 5.990
1.438 -1.438 5.990
1.438 1.438 -5.990
Tc Hg Ru
1 1 1
direct
0.000 0.000 0.000
0.314 0.314 0.000
0.630 0.630 0.000


No. 2
TcHgRu2 (PBE, optimized geometry); N(E_F) = 6.28 states/eV/cell; formation energy from the elements = 0.582 eV per atom; M_tot = 0.00 μB per formula unit; E = -6.723 eV/atom
1.0
-1.414 2.331 4.894
1.414 -2.331 4.894
1.414 2.331 -4.894
Tc Hg Ru
1 1 2
direct
0.000 0.000 0.000
0.279 0.779 0.500
0.554 0.554 0.000
0.780 0.280 0.500


No. 3
TcHg4Ru (PBE, optimized geometry); N(E_F) = 2.59 states/eV/cell; formation energy from the elements = 1.013 eV per atom; M_tot = 4.16 μB per formula unit; E = -2.462 eV/atom
1.0
0.000 3.944 3.944
3.944 0.000 3.944
3.944 3.944 0.000
Tc Hg Ru
1 4 1
direct
0.000 0.000 0.000
0.125 0.625 0.625
0.625 0.125 0.625
0.625 0.625 0.125
0.625 0.625 0.625
0.250 0.250 0.250


No. 4
TcHgRu2 (PBE, optimized geometry); N(E_F) = 11.90 states/eV/cell; formation energy from the elements = 0.783 eV per atom; M_tot = 0.00 μB per formula unit; E = -6.521 eV/atom
1.0
-3.580 3.580 2.765
3.580 -3.580 2.765
3.580 3.580 -2.765
Tc Hg Ru
2 2 4
direct
0.000 0.000 0.000
0.750 0.250 0.500
0.250 0.750 0.500
0.500 0.500 0.000
0.074 0.125 0.449
0.375 0.926 0.051
0.676 0.625 0.551
0.875 0.324 0.949